TaAl2Cr (PBE, optimized geometry); polymorph energy (0 for the lowest one) = 77 meV per atom; E_form = -0.18 eV per formula unit; Fermi-level density of states = 0.73 states/eV/atom; crystal system = monoclinic
1.0
2.683 -4.212 0.000
2.683 4.212 0.000
-0.517 0.000 2.674
Ta Al Cr
1 2 1
Direct
0.000 0.000 0.000
0.000 0.500 0.500
0.500 0.000 0.500
0.500 0.500 0.000

Ta2AlCrTe (PBE, optimized geometry); Fermi-level density of states = 1.53 states/eV/atom; crystal system = tetragonal; energy relative to the elements, uncorrected = 1.7093 eV per atom
1.0
5.010 0.000 0.000
0.000 5.010 0.000
0.000 0.000 4.588
Ta Al Cr Te
2 1 1 1
Direct
0.000 0.500 0.000
0.500 0.000 0.000
0.000 0.000 0.500
0.500 0.500 0.500
0.500 0.500 0.000

Ta2TiAlCr (PBE, optimized geometry); E_form = 8.19 eV per formula unit; Fermi-level density of states = 1.48 states/eV/atom; crystal system = tetragonal
1.0
4.595 0.000 0.000
0.000 4.595 0.000
0.000 0.000 4.746
Ta Ti Al Cr
2 1 1 1
Direct
0.000 0.500 0.000
0.500 0.000 0.000
0.000 0.000 0.000
0.000 0.000 0.500
0.500 0.500 0.500